Below is a relaxed structure of AcTlNiBi, with properties calculated at the GGA-PBE level.

Lattice parameters (Å, degrees): 5.3601 5.3601 5.3601 60.00 60.00 60.00
With the nearest neighbours (Å) after each atom.
Sites, in units of the cell vectors:
Ac (0.0000, 0.0000, 0.0000)  4 Tl 3.28, 4 Ni 3.28
Tl (0.7500, 0.7500, 0.7500)  4 Ac 3.28, 4 Bi 3.28
Ni (0.2500, 0.2500, 0.2500)  4 Ac 3.28, 4 Bi 3.28
Bi (0.5000, 0.5000, 0.5000)  4 Tl 3.28, 4 Ni 3.28

Values from the calculation:
calculated volume	108.90	Å³ per cell
E	-4.10	eV/atom

***

Below is a relaxed structure of Ac2NpBi, with properties calculated at the GGA-PBE level.

Lattice parameters (Å, degrees): 5.3870 5.3870 4.7771 90.00 90.00 90.00
With the nearest neighbours (Å) after each atom.
Sites, in units of the cell vectors:
Ac (0.0000, 0.5000, 0.0000)  4 Bi 3.60, 4 Np 3.60, 4 Ac 3.81
Ac (0.5000, 0.0000, 0.0000)  4 Bi 3.60, 4 Np 3.60, 4 Ac 3.81
Np (0.0000, 0.0000, 0.5000)  8 Ac 3.60, 4 Bi 3.81
Bi (0.5000, 0.5000, 0.5000)  8 Ac 3.60, 4 Np 3.81

Values from the calculation:
calculated volume	138.63	Å³ per cell
E	-6.23	eV/atom

***

Below is a relaxed structure of AcNpBi3, with properties calculated at the GGA-PBE level.

Lattice parameters (Å, degrees): 5.8539 5.8539 5.8539 90.00 90.00 90.00
With the nearest neighbours (Å) after each atom.
Sites, in units of the cell vectors:
Ac (0.0000, 0.0000, 0.0000)  12 Bi 4.14
Np (0.5000, 0.5000, 0.5000)  6 Bi 2.93
Bi (0.0000, 0.5000, 0.5000)  2 Np 2.93
Bi (0.5000, 0.0000, 0.5000)  2 Np 2.93
Bi (0.5000, 0.5000, 0.0000)  2 Np 2.93

Values from the calculation:
calculated volume	200.60	Å³ per cell
E	-5.64	eV/atom

***

Below is a relaxed structure of Ac2NpBi, with properties calculated at the GGA-PBE level.

Lattice parameters (Å, degrees): 13.0897 13.0897 13.0897 16.00 16.00 16.00
With the nearest neighbours (Å) after each atom.
Sites, in units of the cell vectors:
Ac (0.0907, 0.0907, 0.0907)  1 Np 3.52, 3 Bi 3.62, 6 Ac 3.64
Ac (0.9093, 0.9093, 0.9093)  1 Np 3.52, 3 Bi 3.62, 6 Ac 3.64
Np (0.0000, 0.0000, 0.0000)  2 Ac 3.52, 6 Np 3.64
Bi (0.5000, 0.5000, 0.5000)  6 Ac 3.62, 6 Bi 3.64

Values from the calculation:
calculated volume	148.47	Å³ per cell
E	-5.82	eV/atom

***

Below is a relaxed structure of Ac2NpBiO8, with properties calculated at the GGA-PBE level.

Lattice parameters (Å, degrees): 4.1375 7.8798 5.7701 90.00 95.94 90.00
With the nearest neighbours (Å) after each atom.
Sites, in units of the cell vectors:
Ac (0.0000, 0.2487, 0.0000)  8 O 2.44-2.64
Ac (0.0000, 0.7513, 0.0000)  8 O 2.44-2.64
Np (0.5000, 0.5000, 0.5000)  6 O 2.01-2.11
Bi (0.5000, 0.0000, 0.5000)  6 O 2.37-2.64
O (0.0063, 0.0000, 0.2529)  1 Bi 2.37, 2 Ac 2.44
O (0.0766, 0.5000, 0.2947)  1 Np 2.01
O (0.4556, 0.2901, 0.7226)  1 Np 2.11
O (0.4556, 0.7099, 0.7226)  1 Np 2.11
O (0.5444, 0.2901, 0.2774)  1 Np 2.11
O (0.5444, 0.7099, 0.2774)  1 Np 2.11
O (0.9234, 0.5000, 0.7053)  1 Np 2.01
O (0.9937, 0.0000, 0.7471)  1 Bi 2.37, 2 Ac 2.44

Values from the calculation:
calculated volume	187.11	Å³ per cell
E	-8.02	eV/atom
E_form (uncorrected)	-2.6264	eV/atom

***

Below is a relaxed structure of AcNpSnBi, with properties calculated at the GGA-PBE level.

Lattice parameters (Å, degrees): 5.6436 5.6436 5.6436 60.00 60.00 60.00
With the nearest neighbours (Å) after each atom.
Sites, in units of the cell vectors:
Ac (0.0000, 0.0000, 0.0000)  4 Sn 3.46, 4 Bi 3.46
Np (0.5000, 0.5000, 0.5000)  4 Sn 3.46, 4 Bi 3.46
Sn (0.7500, 0.7500, 0.7500)  4 Ac 3.46, 4 Np 3.46
Bi (0.2500, 0.2500, 0.2500)  4 Ac 3.46, 4 Np 3.46

Values from the calculation:
calculated volume	127.10	Å³ per cell
E	-6.37	eV/atom

***

Below is a relaxed structure of Ac2Bi3O8, with properties calculated at the GGA-PBE level.

Lattice parameters (Å, degrees): 7.1892 7.1892 5.9114 108.50 108.50 59.47
With the nearest neighbours (Å) after each atom.
Sites, in units of the cell vectors:
Ac (0.2208, 0.2208, 0.1550)  6 O 2.50-2.63
Ac (0.7792, 0.7792, 0.8450)  6 O 2.50-2.63
Bi (0.2385, 0.7615, 0.5000)  6 O 2.28-2.44
Bi (0.5000, 0.5000, 0.0000)  6 O 2.42-2.43
Bi (0.7615, 0.2385, 0.5000)  6 O 2.28-2.44
O (0.0994, 0.0994, 0.4111)  2 Bi 2.28, 1 Ac 2.50
O (0.1542, 0.5990, 0.0953)  2 Bi 2.34-2.42, 1 Ac 2.50
O (0.3892, 0.3892, 0.5664)  3 Bi 2.43-2.44, 1 Ac 2.57
O (0.4010, 0.8458, 0.9047)  2 Bi 2.34-2.42, 1 Ac 2.50
O (0.5990, 0.1542, 0.0953)  2 Bi 2.34-2.42, 1 Ac 2.50
O (0.6108, 0.6108, 0.4336)  3 Bi 2.43-2.44, 1 Ac 2.57
O (0.8458, 0.4010, 0.9047)  2 Bi 2.34-2.42, 1 Ac 2.50
O (0.9006, 0.9006, 0.5889)  2 Bi 2.28, 1 Ac 2.50

Values from the calculation:
calculated volume	244.97	Å³ per cell
E	-6.54	eV/atom
E_form (uncorrected)	-1.9608	eV/atom

***

Below is a relaxed structure of AcBiO3, with properties calculated at the GGA-PBE level.

Lattice parameters (Å, degrees): 6.4480 6.4480 10.7778 108.80 108.80 59.36
With the nearest neighbours (Å) after each atom.
Sites, in units of the cell vectors:
Ac (0.0355, 0.6745, 0.8672)  5 O 2.47-2.68
Ac (0.3255, 0.9645, 0.6328)  5 O 2.47-2.68
Ac (0.6745, 0.0355, 0.3672)  5 O 2.47-2.68
Ac (0.9645, 0.3255, 0.1328)  5 O 2.47-2.68
Bi (0.0000, 0.5000, 0.5000)  6 O 2.35-2.44
Bi (0.2853, 0.7147, 0.2500)  6 O 2.32-2.44
Bi (0.5000, 0.0000, 0.0000)  6 O 2.35-2.44
Bi (0.7147, 0.2853, 0.7500)  6 O 2.32-2.44
O (0.1196, 0.2449, 0.8720)  2 Bi 2.39-2.43, 1 Ac 2.55
O (0.1495, 0.7281, 0.4404)  2 Bi 2.44, 2 Ac 2.47-2.68
O (0.2449, 0.1196, 0.3720)  2 Bi 2.39-2.43, 1 Ac 2.55
O (0.2719, 0.8505, 0.0596)  2 Bi 2.44, 2 Ac 2.47-2.68
O (0.2965, 0.3973, 0.6946)  2 Bi 2.32-2.35, 2 Ac 2.51-2.57
O (0.3973, 0.2965, 0.1946)  2 Bi 2.32-2.35, 2 Ac 2.51-2.57
O (0.6027, 0.7035, 0.8054)  2 Bi 2.32-2.35, 2 Ac 2.51-2.57
O (0.7035, 0.6027, 0.3054)  2 Bi 2.32-2.35, 2 Ac 2.51-2.57
O (0.7281, 0.1495, 0.9404)  2 Bi 2.44, 2 Ac 2.47-2.68
O (0.7551, 0.8804, 0.6280)  2 Bi 2.39-2.43, 1 Ac 2.55
O (0.8505, 0.2719, 0.5596)  2 Bi 2.44, 2 Ac 2.47-2.68
O (0.8804, 0.7551, 0.1280)  2 Bi 2.39-2.43, 1 Ac 2.55

Values from the calculation:
calculated volume	358.03	Å³ per cell
E	-6.80	eV/atom
E_form (uncorrected)	-2.2235	eV/atom